1.
DFT (GGA-PBE) results for a relaxed Sc3Ag4Au2 crystal.

Summary:
- crystal system = monoclinic
- SG = C2/c
- calculated total energy (eV/cell) = -80.600
- formation energy from the elements (meV/atom) = -372

a b c (Å): 8.4713 8.4713 5.0877
angles (deg): 98.01 98.01 74.82
With the nearest neighbours (Å) after each atom.
Positions (direct):
Sc 0.1178 0.8822 0.7500  6 Au 2.88-3.01, 4 Ag 2.94-3.05
Sc 0.2019 0.4578 0.9224  2 Au 2.86-2.90, 8 Ag 2.91-3.01
Sc 0.4578 0.2019 0.4224  2 Au 2.86-2.90, 8 Ag 2.91-3.01
Sc 0.5422 0.7981 0.5776  2 Au 2.86-2.90, 8 Ag 2.91-3.01
Sc 0.7981 0.5422 0.0776  2 Au 2.86-2.90, 8 Ag 2.91-3.01
Sc 0.8822 0.1178 0.2500  6 Au 2.88-3.01, 4 Ag 2.94-3.05
Ag 0.0982 0.3456 0.3701  5 Sc 2.91-2.98, 2 Ag 2.93-2.95, 3 Au 2.93-3.01
Ag 0.3209 0.5647 0.4796  4 Ag 2.91-3.01, 5 Sc 2.93-3.05, 1 Au 2.98
Ag 0.3456 0.0982 0.8701  5 Sc 2.91-2.98, 2 Ag 2.93-2.95, 3 Au 2.93-3.01
Ag 0.4353 0.6792 0.0204  4 Ag 2.91-3.01, 5 Sc 2.93-3.05, 1 Au 2.98
Ag 0.5647 0.3209 0.9796  4 Ag 2.91-3.01, 5 Sc 2.93-3.05, 1 Au 2.98
Ag 0.6544 0.9018 0.1299  5 Sc 2.91-2.98, 2 Ag 2.93-2.95, 3 Au 2.93-3.01
Ag 0.6792 0.4353 0.5204  4 Ag 2.91-3.01, 5 Sc 2.93-3.05, 1 Au 2.98
Ag 0.9018 0.6544 0.6299  5 Sc 2.91-2.98, 2 Ag 2.93-2.95, 3 Au 2.93-3.01
Au 0.0202 0.7572 0.1833  5 Sc 2.86-3.01, 4 Ag 2.93-3.01, 1 Au 2.95
Au 0.2428 0.9798 0.3167  5 Sc 2.86-3.01, 4 Ag 2.93-3.01, 1 Au 2.95
Au 0.7572 0.0202 0.6833  5 Sc 2.86-3.01, 4 Ag 2.93-3.01, 1 Au 2.95
Au 0.9798 0.2428 0.8167  5 Sc 2.86-3.01, 4 Ag 2.93-3.01, 1 Au 2.95

=====

2.
DFT (GGA-PBE) results for a relaxed ReSi3Ge crystal.

Summary:
- crystal system = cubic
- formation energy (no corrections) (meV/atom) = 691.5
- SG = Pm-3m
- calculated total energy (eV/cell) = -29.877
- distance to the lowest polymorph of the same formula (eV per atom) = 0.000

a b c (Å): 4.7123 4.7123 4.7123
angles (deg): 90.00 90.00 90.00
With the nearest neighbours (Å) after each atom.
Positions (direct):
Re 0.0000 0.0000 0.0000  6 Si 2.36
Si 0.0000 0.0000 0.5000  2 Re 2.36
Si 0.0000 0.5000 0.0000  2 Re 2.36
Si 0.5000 0.0000 0.0000  2 Re 2.36
Ge 0.5000 0.5000 0.5000  12 Si 3.33

=====

3.
DFT (GGA-PBE) results for a relaxed Al2NiTePd crystal.

Summary:
- crystal system = tetragonal
- formation energy (no corrections) (meV/atom) = 456.0
- SG = P4/mmm
- calculated total energy (eV/cell) = -19.321

a b c (Å): 4.6117 4.6117 5.5445
angles (deg): 90.00 90.00 90.00
With the nearest neighbours (Å) after each atom.
Positions (direct):
Al 0.0000 0.5000 0.0000  2 Pd 2.31
Al 0.5000 0.0000 0.0000  2 Pd 2.31
Ni 0.0000 0.0000 0.5000  4 Te 3.26, 8 Al 3.61
Te 0.5000 0.5000 0.5000  2 Pd 2.77
Pd 0.5000 0.5000 0.0000  4 Al 2.31

=====

4.
DFT (GGA-PBE) results for a relaxed Pm4NdH10 crystal.

Summary:
- crystal system = tetragonal
- SG = I4/mmm
- calculated total energy (eV/cell) = -67.227

a b c (Å): 13.7910 13.7910 13.7910
angles (deg): 164.00 164.00 22.71
With the nearest neighbours (Å) after each atom.
Positions (direct):
Pm 0.1007 0.1007 0.0000  8 H 2.34
Pm 0.2997 0.2997 0.0000  8 H 2.34-2.35
Pm 0.7003 0.7003 0.0000  8 H 2.34-2.35
Pm 0.8993 0.8993 0.0000  8 H 2.34
Nd 0.5000 0.5000 0.0000  8 H 2.36
H 0.0510 0.5510 0.5000  2 Pm 2.34, 2 Nd 2.36
H 0.1504 0.6504 0.5000  4 Pm 2.34-2.35
H 0.2500 0.7500 0.5000  4 Pm 2.34
H 0.3496 0.8496 0.5000  4 Pm 2.34-2.35
H 0.4490 0.9490 0.5000  2 Pm 2.34, 2 Nd 2.36
H 0.5510 0.0510 0.5000  2 Pm 2.34, 2 Nd 2.36
H 0.6504 0.1504 0.5000  4 Pm 2.34-2.35
H 0.7500 0.2500 0.5000  4 Pm 2.34
H 0.8496 0.3496 0.5000  4 Pm 2.34-2.35
H 0.9490 0.4490 0.5000  2 Pm 2.34, 2 Nd 2.36

=====

5.
DFT (GGA-PBE) results for a relaxed Y2PuPd3 crystal.

Summary:
- crystal system = tetragonal
- SG = P4/mmm
- calculated total energy (eV/cell) = -47.136
- formation energy from the elements (meV/atom) = -716

a b c (Å): 3.4748 3.4748 10.8332
angles (deg): 90.00 90.00 90.00
With the nearest neighbours (Å) after each atom.
Positions (direct):
Y 0.0000 0.0000 0.1665  8 Pd 2.99-3.05
Y 0.0000 0.0000 0.8335  8 Pd 2.99-3.05
Pu 0.0000 0.0000 0.5000  8 Pd 3.12, 4 Pu 3.47
Pd 0.5000 0.5000 0.0000  8 Y 3.05
Pd 0.5000 0.5000 0.3232  4 Y 2.99, 4 Pu 3.12
Pd 0.5000 0.5000 0.6768  4 Y 2.99, 4 Pu 3.12

=====

6.
DFT (GGA-PBE) results for a relaxed LiPr2YTe4 crystal.

Summary:
- crystal system = monoclinic
- formation energy (no corrections) (meV/atom) = -1369.0
- SG = P2/m
- calculated total energy (eV/cell) = -41.456

a b c (Å): 7.6591 4.4167 7.7038
angles (deg): 90.00 109.19 90.00
With the nearest neighbours (Å) after each atom.
Positions (direct):
Li 0.0000 0.0000 0.0000  6 Te 3.02-3.04
Pr 0.0000 0.5000 0.5000  6 Te 3.19
Pr 0.5000 0.0000 0.5000  6 Te 3.23-3.24
Y 0.5000 0.5000 0.0000  6 Te 3.08
Te 0.2392 0.5000 0.2308  2 Li 3.04, 1 Y 3.08, 3 Pr 3.19-3.23
Te 0.2497 0.0000 0.7673  1 Li 3.02, 2 Y 3.08, 3 Pr 3.19-3.24
Te 0.7503 0.0000 0.2327  1 Li 3.02, 2 Y 3.08, 3 Pr 3.19-3.24
Te 0.7608 0.5000 0.7692  2 Li 3.04, 1 Y 3.08, 3 Pr 3.19-3.23

=====

7.
DFT (GGA-PBE) results for a relaxed Pa2SnO crystal.

Summary:
- crystal system = trigonal
- formation energy (no corrections) (meV/atom) = -1259.1
- SG = R-3m
- calculated total energy (eV/cell) = -98.968
- distance to the lowest polymorph of the same formula (eV per atom) = 0.000

a b c (Å): 3.2938 3.2938 25.9286
angles (deg): 90.00 90.00 120.00
With the nearest neighbours (Å) after each atom.
Positions (direct):
Pa 0.0000 0.0000 0.2281  3 O 2.48
Pa 0.0000 0.0000 0.7719  3 O 2.48
Pa 0.3333 0.6667 0.4386  3 O 2.48
Pa 0.3333 0.6667 0.8947  3 O 2.48
Pa 0.6667 0.3333 0.1053  3 O 2.48
Pa 0.6667 0.3333 0.5614  3 O 2.48
Sn 0.0000 0.0000 0.0000  6 Sn 3.29, 6 Pa 3.33
Sn 0.3333 0.6667 0.6667  6 Sn 3.29, 6 Pa 3.33
Sn 0.6667 0.3333 0.3333  6 Sn 3.29, 6 Pa 3.33
O 0.0000 0.0000 0.5000  6 Pa 2.48
O 0.3333 0.6667 0.1667  6 Pa 2.48
O 0.6667 0.3333 0.8333  6 Pa 2.48

=====

8.
DFT (GGA-PBE) results for a relaxed NbRe2Rh2 crystal.

Summary:
- crystal system = tetragonal
- SG = P4/mbm
- calculated total energy (eV/cell) = -99.189
- formation energy from the elements (meV/atom) = 15
- distance to the lowest polymorph of the same formula (eV per atom) = 0.000

a b c (Å): 7.6112 7.6112 2.7145
angles (deg): 90.00 90.00 90.00
With the nearest neighbours (Å) after each atom.
Positions (direct):
Nb 0.0000 0.0000 0.0000  2 Nb 2.71, 4 Rh 3.02
Nb 0.5000 0.5000 0.0000  2 Nb 2.71, 4 Rh 3.02
Re 0.1742 0.3258 0.5000  6 Rh 2.58-2.66, 2 Re 2.71
Re 0.3258 0.8258 0.5000  6 Rh 2.58-2.66, 2 Re 2.71
Re 0.6742 0.1742 0.5000  6 Rh 2.58-2.66, 2 Re 2.71
Re 0.8258 0.6742 0.5000  6 Rh 2.58-2.66, 2 Re 2.71
Rh 0.1225 0.6225 0.0000  6 Re 2.58-2.66, 3 Rh 2.64-2.71
Rh 0.3775 0.1225 0.0000  6 Re 2.58-2.66, 3 Rh 2.64-2.71
Rh 0.6225 0.8775 0.0000  6 Re 2.58-2.66, 3 Rh 2.64-2.71
Rh 0.8775 0.3775 0.0000  6 Re 2.58-2.66, 3 Rh 2.64-2.71